Record 1
Compound: Sm4HoAl2
Source: Alexandria via LeMat-Bulk
Functional: PBE
Structure: optimized geometry

For the total energy, the calculation gives -4.314 eV/atom. The relative energy among the computed polymorphs comes out at 288 meV/atom. For the total moment, the calculation gives 0.00 μB per atom. The density of states at the Fermi level is 35.11 states/eV/cell. As for the formation energy: 10.3 kJ/mol of atoms.

It has space group R-3m (No. 166, hexagonal axes), with a = 5.1079 Å, b = 5.1079 Å, c = 30.4420 Å, α = 90.00°, β = 90.00° and γ = 120.00°. The inequivalent atoms are Sm at (0.0000, 0.0000, 0.1039), Sm at (0.0000, 0.0000, 0.2976), Ho at (0.0000, 0.0000, 0.5000) and Al at (0.0000, 0.0000, 0.4013).

=====

Record 2
Compound: Mo3Ru3Pt2
Source: Alexandria via LeMat-Bulk
Functional: PBE
Structure: optimized geometry

For the total energy, the calculation gives -9.216 eV/atom. For the total moment, the calculation gives 0.00 μB per atom. The density of states at the Fermi level is 5.29 states/eV/cell. As for the formation energy: -16.0 kJ/mol of atoms.

It has space group Pmmm (No. 47), with a = 3.917 Å, b = 3.934 Å, c = 7.730 Å, α = 90.00°, β = 90.00° and γ = 90.00°. The inequivalent atoms are Mo at (0.000, 0.000, 0.000), Mo at (0.500, 0.000, 0.254), Ru at (0.000, 0.000, 0.500), Ru at (0.500, 0.500, 0.000), Ru at (0.500, 0.500, 0.500) and Pt at (0.000, 0.500, 0.252).

=====

Record 3
Compound: Ce2NdIn
Source: Alexandria via LeMat-Bulk
Functional: PBE
Structure: optimized geometry

For the total energy, the calculation gives -5.044 eV/atom. The relative energy among the computed polymorphs comes out at 0 meV/atom. For the total moment, the calculation gives 0.05 μB per atom. The density of states at the Fermi level is 16.67 states/eV/cell. As for the formation energy: -19.4 kJ/mol of atoms.

It has space group P2_1/m (No. 11), with a = 4.660 Å, b = 4.339 Å, c = 11.716 Å, α = 90.00°, β = 98.99° and γ = 90.00°. The inequivalent atoms are Ce at (0.001, 0.250, 0.391), Ce at (0.385, 0.750, 0.385), Nd at (0.300, 0.250, 0.106) and In at (0.178, 0.250, 0.820).